# 1
# LiTbNdSe3

A relaxed LiTbNdSe3 crystal (PBE, Alexandria via LeMat-Bulk).

a = 8.4891 Å, b = 4.0295 Å, c = 8.8614 Å
α = 90.00°, β = 102.86°, γ = 90.00°
Closest atoms and distances in Å follow each position.
Sites, in units of the cell vectors:
Li: 0.0862 0.2500 0.0846  4 Se 2.51-2.54, 2 Li 2.73
Li: 0.9138 0.7500 0.9154  4 Se 2.51-2.54, 2 Li 2.73
Tb: 0.3348 0.7500 0.3371  6 Se 2.85-2.94
Tb: 0.6652 0.2500 0.6629  6 Se 2.85-2.94
Nd: 0.1884 0.2500 0.7251  7 Se 2.98-3.12
Nd: 0.8116 0.7500 0.2749  7 Se 2.98-3.12
Se: 0.0949 0.2500 0.3699  1 Li 2.51
Se: 0.2204 0.7500 0.9990  3 Li 2.51-2.54
Se: 0.4301 0.7500 0.6744  3 Tb 2.85-2.92, 2 Nd 2.98
Se: 0.5699 0.2500 0.3256  3 Tb 2.85-2.92, 2 Nd 2.98
Se: 0.7796 0.2500 0.0010  3 Li 2.51-2.54
Se: 0.9051 0.7500 0.6301  1 Li 2.51

Properties
Space group: P2_1/m, No. 11
Fermi-level density of states, states/eV/atom: 0.3329
Total magnetization, μB/cell: 0.00
Formation energy from raw total energies, meV/atom: -1674

# 2
# Y4Co2Cu

A relaxed Y4Co2Cu crystal (PBE, Alexandria via LeMat-Bulk).

a = 6.9152 Å, b = 6.9152 Å, c = 7.5233 Å
α = 105.80°, β = 105.80°, γ = 72.25°
Closest atoms and distances in Å follow each position.
Sites, in units of the cell vectors:
Y: 0.0000 0.0000 0.0000  4 Co 2.82-3.03, 1 Cu 3.02
Y: 0.4771 0.9506 0.3535  4 Co 2.77-2.99, 2 Cu 2.95-2.98
Y: 0.4941 0.9622 0.8555  3 Co 2.71-2.86, 2 Cu 2.90-2.93
Y: 0.4972 0.4972 0.4854  3 Co 2.83-2.95, 2 Cu 2.88-2.98
Y: 0.5023 0.5023 0.0038  3 Co 2.83-3.03, 2 Cu 2.89-2.99
Y: 0.9506 0.4771 0.3535  4 Co 2.77-2.99, 2 Cu 2.95-2.98
Y: 0.9622 0.4941 0.8555  3 Co 2.71-2.86, 2 Cu 2.90-2.93
Y: 0.9915 0.9915 0.4855  4 Co 2.83-2.96, 1 Cu 3.08
Co: 0.1810 0.6826 0.2083  1 Co 2.52, 1 Cu 2.55
Co: 0.6826 0.1810 0.2083  1 Co 2.52, 1 Cu 2.55
Co: 0.7773 0.7773 0.6340  7 Y 2.71-3.03
Co: 0.7904 0.7904 0.1344  2 Co 2.52, 2 Y 2.75
Cu: 0.2842 0.2842 0.6394  7 Y 2.90-3.08
Cu: 0.2870 0.2870 0.1340  2 Co 2.55

Properties
Space group: Cm, No. 8
Fermi-level density of states, states/eV/atom: 0.8660
Total magnetization, μB/cell: 0.00
Formation energy from the elements, eV per atom: -0.151

# 3
# Be3PdCl

A relaxed Be3PdCl crystal (PBE, Alexandria via LeMat-Bulk).

a = 4.0246 Å, b = 4.0246 Å, c = 4.0246 Å
α = 90.00°, β = 90.00°, γ = 90.00°
Closest atoms and distances in Å follow each position.
Sites, in units of the cell vectors:
Be: 0.0000 0.0000 0.5000  2 Cl 2.01
Be: 0.0000 0.5000 0.0000  2 Cl 2.01
Be: 0.5000 0.0000 0.0000  2 Cl 2.01
Pd: 0.5000 0.5000 0.5000  12 Be 2.85
Cl: 0.0000 0.0000 0.0000  6 Be 2.01

Properties
Space group: Pm-3m, No. 221
Fermi-level density of states, states/eV/atom: 0.3571
Total magnetization, μB/cell: 0.00
Formation energy from raw total energies, meV/atom: 894
Energy relative to the lowest polymorph listed for this composition, eV/atom: 0.403

# 4
# CuAu

A relaxed CuAu crystal (PBE, Alexandria via LeMat-Bulk).

a = 4.8826 Å, b = 4.5209 Å, c = 5.5144 Å
α = 90.00°, β = 90.00°, γ = 90.00°
Closest atoms and distances in Å follow each position.
Sites, in units of the cell vectors:
Cu: 0.0861 0.2500 0.1269  8 Au 2.70-2.90, 4 Cu 2.79
Cu: 0.4139 0.7500 0.6269  8 Au 2.70-2.90, 4 Cu 2.79
Cu: 0.5861 0.2500 0.3731  8 Au 2.70-2.90, 4 Cu 2.79
Cu: 0.9139 0.7500 0.8731  8 Au 2.70-2.90, 4 Cu 2.79
Au: 0.1101 0.2500 0.6225  8 Cu 2.70-2.90, 4 Au 2.82-2.84
Au: 0.3899 0.7500 0.1225  8 Cu 2.70-2.90, 4 Au 2.82-2.84
Au: 0.6101 0.2500 0.8775  8 Cu 2.70-2.90, 4 Au 2.82-2.84
Au: 0.8899 0.7500 0.3775  8 Cu 2.70-2.90, 4 Au 2.82-2.84

Properties
Space group: Pnma, No. 62
Fermi-level density of states, states/eV/atom: 0.2898
Total magnetization, μB/cell: 0.00
Formation energy from the elements, eV per atom: -0.017

# 5
# ZrCd2Co

A relaxed ZrCd2Co crystal (PBE, Alexandria via LeMat-Bulk).

a = 3.9428 Å, b = 3.9428 Å, c = 4.7740 Å
α = 90.00°, β = 90.00°, γ = 90.00°
Closest atoms and distances in Å follow each position.
Sites, in units of the cell vectors:
Zr: 0.0000 0.0000 0.0000  4 Co 2.79, 8 Cd 3.10
Cd: 0.0000 0.5000 0.5000  4 Cd 2.79, 4 Co 3.10, 4 Zr 3.10
Cd: 0.5000 0.0000 0.5000  4 Cd 2.79, 4 Co 3.10, 4 Zr 3.10
Co: 0.5000 0.5000 0.0000  4 Zr 2.79, 8 Cd 3.10

Properties
Space group: P4/mmm, No. 123
Fermi-level density of states, states/eV/atom: 0.5149
Total magnetization, μB/cell: 0.00
Formation energy from the elements, eV per atom: 0.096
Energy relative to the lowest polymorph listed for this composition, eV/atom: 0.168

# 6
# Nd2CCl

A relaxed Nd2CCl crystal (PBE, Alexandria via LeMat-Bulk).

a = 7.5774 Å, b = 7.5774 Å, c = 7.5774 Å
α = 28.72°, β = 28.72°, γ = 28.72°
Closest atoms and distances in Å follow each position.
Sites, in units of the cell vectors:
Nd: 0.0000 0.0000 0.0000  3 C 2.58
Nd: 0.2062 0.2062 0.2062  3 C 2.57
C: 0.6026 0.6026 0.6026  6 Nd 2.57-2.58
Cl: 0.7713 0.7713 0.7713  6 Nd 3.10-3.15

Properties
Space group: R3m, No. 160
Fermi-level density of states, states/eV/atom: 0.5104
Total magnetization, μB/cell: 0.00
Formation energy from raw total energies, meV/atom: -1004

# 7
# HfTe2HI

A relaxed HfTe2HI crystal (PBE, Alexandria via LeMat-Bulk).

a = 5.5452 Å, b = 5.5452 Å, c = 5.8445 Å
α = 90.00°, β = 90.00°, γ = 90.00°
Closest atoms and distances in Å follow each position.
Sites, in units of the cell vectors:
Hf: 0.0000 0.0000 0.0000  4 Te 2.77, 2 I 2.92
Te: 0.0000 0.5000 0.0000  2 Hf 2.77
Te: 0.5000 0.0000 0.0000  2 Hf 2.77
H: 0.5000 0.5000 0.5000  4 I 3.92, 8 Te 4.03
I: 0.0000 0.0000 0.5000  2 Hf 2.92

Properties
Space group: P4/mmm, No. 123
Fermi-level density of states, states/eV/atom: 0.9024
Total magnetization, μB/cell: 0.96
Energy relative to the lowest polymorph listed for this composition, eV/atom: 0.000

# 8
# Li3BO3

A relaxed Li3BO3 crystal (PBE, Alexandria via LeMat-Bulk).

a = 3.3122 Å, b = 9.2720 Å, c = 8.3889 Å
α = 90.00°, β = 101.28°, γ = 90.00°
Closest atoms and distances in Å follow each position.
Sites, in units of the cell vectors:
Li: 0.0085 0.2323 0.4804  4 O 1.98-2.06
Li: 0.0085 0.2677 0.9804  4 O 1.98-2.06
Li: 0.2251 0.0225 0.8873  4 O 1.96-1.99
Li: 0.2251 0.4775 0.3873  4 O 1.96-1.99
Li: 0.4056 0.5745 0.8670  4 O 1.99-2.04
Li: 0.4056 0.9255 0.3670  4 O 1.99-2.04
Li: 0.5944 0.0745 0.6330  4 O 1.99-2.04
Li: 0.5944 0.4255 0.1330  4 O 1.99-2.04
Li: 0.7749 0.5225 0.6127  4 O 1.96-1.99
Li: 0.7749 0.9775 0.1127  4 O 1.96-1.99
Li: 0.9915 0.7323 0.0196  4 O 1.98-2.06
Li: 0.9915 0.7677 0.5196  4 O 1.98-2.06
B: 0.3022 0.1854 0.2454  3 O 1.39-1.40
B: 0.3022 0.3146 0.7454  3 O 1.39-1.40
B: 0.6978 0.6854 0.2546  3 O 1.39-1.40
B: 0.6978 0.8146 0.7546  3 O 1.39-1.40
O: 0.1402 0.1747 0.7215  1 B 1.40
O: 0.1402 0.3253 0.2215  1 B 1.40
O: 0.2705 0.0935 0.1120  1 B 1.39
O: 0.2705 0.4065 0.6120  1 B 1.39
O: 0.4723 0.1369 0.4002  1 B 1.39
O: 0.4723 0.3631 0.9002  1 B 1.39
O: 0.5277 0.6369 0.0998  1 B 1.39
O: 0.5277 0.8631 0.5998  1 B 1.39
O: 0.7295 0.5935 0.3880  1 B 1.39
O: 0.7295 0.9065 0.8880  1 B 1.39
O: 0.8598 0.6747 0.7785  1 B 1.40
O: 0.8598 0.8253 0.2785  1 B 1.40

Properties
Space group: P2_1/c, No. 14
Fermi-level density of states, states/eV/atom: 0.0000
Total magnetization, μB/cell: 0.00
Formation energy from raw total energies, meV/atom: -2253
Energy relative to the lowest polymorph listed for this composition, eV/atom: 0.000

# 9
# MnCdTe3

A relaxed MnCdTe3 crystal (PBE, Alexandria via LeMat-Bulk).

a = 5.1033 Å, b = 5.1033 Å, c = 5.1033 Å
α = 90.00°, β = 90.00°, γ = 90.00°
Closest atoms and distances in Å follow each position.
Sites, in units of the cell vectors:
Mn: 0.0000 0.0000 0.0000  6 Te 2.55
Cd: 0.5000 0.5000 0.5000  12 Te 3.61
Te: 0.0000 0.0000 0.5000  2 Mn 2.55
Te: 0.0000 0.5000 0.0000  2 Mn 2.55
Te: 0.5000 0.0000 0.0000  2 Mn 2.55

Properties
Space group: Pm-3m, No. 221
Fermi-level density of states, states/eV/atom: 2.2270
Total magnetization, μB/cell: 0.00
Formation energy from raw total energies, meV/atom: 422

# 10
# Cu2PbSe

A relaxed Cu2PbSe crystal (PBE, Alexandria via LeMat-Bulk).

a = 3.5008 Å, b = 3.5008 Å, c = 6.2145 Å
α = 90.00°, β = 90.00°, γ = 90.00°
Closest atoms and distances in Å follow each position.
Sites, in units of the cell vectors:
Cu: 0.0000 0.0000 0.2000  1 Cu 2.49, 4 Se 2.77
Cu: 0.0000 0.0000 0.8000  1 Cu 2.49, 4 Se 2.77
Pb: 0.5000 0.5000 0.5000  8 Cu 3.10, 2 Se 3.11
Se: 0.5000 0.5000 0.0000  8 Cu 2.77

Properties
Space group: P4/mmm, No. 123
Fermi-level density of states, states/eV/atom: 0.2616
Total magnetization, μB/cell: 0.00
Formation energy from raw total energies, meV/atom: 202

# 11
# CaH2BrCl

A relaxed CaH2BrCl crystal (PBE, Alexandria via LeMat-Bulk).

a = 4.2023 Å, b = 4.2023 Å, c = 5.3733 Å
α = 90.00°, β = 90.00°, γ = 90.00°
Closest atoms and distances in Å follow each position.
Sites, in units of the cell vectors:
Ca: 0.0000 0.0000 0.0000  2 Cl 2.69, 4 Br 2.97
H: 0.0000 0.5000 0.5000  2 Cl 2.10
H: 0.5000 0.0000 0.5000  2 Cl 2.10
Br: 0.5000 0.5000 0.0000  4 Ca 2.97
Cl: 0.0000 0.0000 0.5000  4 H 2.10

Properties
Space group: P4/mmm, No. 123
Fermi-level density of states, states/eV/atom: 0.1988
Total magnetization, μB/cell: 0.00
E_tot, eV for the cell shown: -13.8

# 12
# PaZnFe2Ge4

A relaxed PaZnFe2Ge4 crystal (PBE, Alexandria via LeMat-Bulk).

a = 3.6376 Å, b = 3.6376 Å, c = 10.6602 Å
α = 90.00°, β = 90.00°, γ = 90.00°
Closest atoms and distances in Å follow each position.
Sites, in units of the cell vectors:
Pa: 0.0000 0.0000 0.0000  8 Ge 3.04
Zn: 0.0000 0.0000 0.5000  8 Fe 2.81
Fe: 0.5000 0.5000 0.3927  1 Fe 2.29, 4 Ge 2.52
Fe: 0.5000 0.5000 0.6073  1 Fe 2.29, 4 Ge 2.52
Ge: 0.0000 0.5000 0.2290  2 Fe 2.52, 4 Ge 2.57
Ge: 0.0000 0.5000 0.7710  2 Fe 2.52, 4 Ge 2.57
Ge: 0.5000 0.0000 0.2290  2 Fe 2.52, 4 Ge 2.57
Ge: 0.5000 0.0000 0.7710  2 Fe 2.52, 4 Ge 2.57

Properties
Space group: P4/mmm, No. 123
Fermi-level density of states, states/eV/atom: 0.9813
Total magnetization, μB/cell: 3.26
Formation energy from the elements, eV per atom: 0.148